Compound: YRuSe2
Source: Alexandria via LeMat-Bulk
Functional: GGA-PBEsol
Structure: relaxed

Geometry as POSCAR:
```
YRuSe2
1.0
3.307 0.000 0.000
0.000 3.307 0.000
0.000 0.000 6.605
Ru Se Y
1 2 1
Direct
0.500 0.500 0.500 Ru
0.000 0.000 0.729 Se
0.000 0.000 0.271 Se
0.500 0.500 0.000 Y
```

Calculated values
The excess energy over the best structure of this formula in the dataset is 42.8 meV/atom. Its symmetry is P4/mmm, No. 123. For the uncorrected formation energy, the calculation gives -415.9 meV/atom.